1.
Here is an optimized crystal structure of PmPrGaNi from Alexandria via LeMat-Bulk. Energies are from PBE.

Cell: 7.2359 7.2359 7.2359 Å, 90.00 90.00 90.00°
Last column: nearest neighbours and their distance in Å.
Space group F-43m (No. 216)
Symmetry-distinct sites (fractional):
Pm (0.0000, 0.0000, 0.0000)  4 Ni 3.13, 4 Ga 3.13
Pr (0.0000, 0.0000, 0.5000)  4 Ni 3.13, 4 Ga 3.13
Ga (0.2500, 0.2500, 0.2500)  4 Pr 3.13, 4 Pm 3.13
Ni (0.2500, 0.2500, 0.7500)  4 Pr 3.13, 4 Pm 3.13

Properties
- ΔE_f: -1.30 eV/f.u.
- Excess energy over the best structure of this formula in the dataset: 0.082 eV/atom

2.
Here is an optimized crystal structure of CaPmLu2 from Alexandria via LeMat-Bulk. Energies are from PBE.

Cell: 3.5888 3.5888 35.7283 Å, 90.00 90.00 120.00°
Last column: nearest neighbours and their distance in Å.
Space group R-3m (No. 166, hexagonal axes)
Symmetry-distinct sites (fractional):
Ca (0.0000, 0.0000, 0.0000)  6 Ca 3.59, 6 Lu 3.75
Pm (0.0000, 0.0000, 0.5000)  6 Lu 3.51, 6 Pm 3.59
Lu (0.0000, 0.0000, 0.2460)  3 Pm 3.51, 6 Lu 3.59, 3 Ca 3.75

Properties
- ΔE_f: 0.35 eV/f.u.
- Excess energy over the best structure of this formula in the dataset: 0.000 eV/atom

3.
Here is an optimized crystal structure of TaBe2TcSe from Alexandria via LeMat-Bulk. Energies are from PBE.

Cell: 4.4711 4.4711 4.7764 Å, 90.00 90.00 90.00°
Last column: nearest neighbours and their distance in Å.
Space group P4/mmm (No. 123)
Symmetry-distinct sites (fractional):
Ta (0.0000, 0.0000, 0.0000)  4 Be 2.24, 2 Se 2.39
Be (0.0000, 0.5000, 0.0000)  2 Ta 2.24
Tc (0.5000, 0.5000, 0.5000)  4 Se 3.16, 8 Be 3.27
Se (0.0000, 0.0000, 0.5000)  2 Ta 2.39

Properties
- Raw formation energy: 7.33 eV/f.u.

4.
Here is an optimized crystal structure of Ga5Sn3Se12 from Alexandria via LeMat-Bulk. Energies are from PBE.

Cell: 16.0002 16.0002 16.0002 Å, 90.00 90.00 90.00°
Last column: nearest neighbours and their distance in Å.
Space group Ia-3d (No. 230)
Symmetry-distinct sites (fractional):
Ga (0.0000, 0.0000, 0.0000)  6 Se 2.62
Ga (0.0000, 0.2500, 0.3750)  4 Se 2.44
Sn (0.0000, 0.2500, 0.1250)  8 Se 3.06-3.10
Se (0.0269, 0.0599, 0.6501)  2 Ga 2.44-2.62

Properties
- Raw formation energy: -6.57 eV/f.u.

We obtain total magnetization values of 0.000; 0.000; 0.542; 0.000 μB per atom for the records listed above, in that order.